No. 1
A plane-wave DFT calculation with PBE was carried out for CuPbCl2 after structural relaxation.

The structure in CIF format:
```
data_CuPbCl2
_chemical_formula_sum 'Cu1 Pb1 Cl2'
_cell_length_a 3.5221
_cell_length_b 3.4245
_cell_length_c 8.4022
_cell_angle_alpha 90.00
_cell_angle_beta 94.62
_cell_angle_gamma 90.00
_symmetry_space_group_name_H-M 'P 1 2/m 1'
_symmetry_Int_Tables_number 10
loop_
_symmetry_equiv_pos_as_xyz
'x,y,z'
'-x,-y,-z'
'-x,y,-z'
'x,-y,z'
loop_
_atom_site_label
_atom_site_type_symbol
_atom_site_fract_x
_atom_site_fract_y
_atom_site_fract_z
Cu1 Cu 0.0000 0.0000 0.0000
Pb1 Pb 0.0000 0.0000 0.5000
Cl1 Cl 0.0556 0.5000 0.8089
```

Results
Uncorrected formation energy = -0.421 eV per atom
N(E_F) = 0.1938 states/eV/atom
Energy relative to the lowest polymorph listed for this composition = 80.9 meV per atom

---

No. 2
A plane-wave DFT calculation with PBE was carried out for ZnCo2Rh after structural relaxation.

The structure in CIF format:
```
data_ZnCo2Rh
_chemical_formula_sum 'Zn2 Co4 Rh2'
_cell_length_a 2.8974
_cell_length_b 4.2059
_cell_length_c 8.2689
_cell_angle_alpha 90.00
_cell_angle_beta 90.00
_cell_angle_gamma 90.00
_symmetry_space_group_name_H-M 'I m m 2'
_symmetry_Int_Tables_number 44
loop_
_symmetry_equiv_pos_as_xyz
'x,y,z'
'-x,-y,z'
'-x,y,z'
'x,-y,z'
'x+1/2,y+1/2,z+1/2'
'-x+1/2,-y+1/2,z+1/2'
'-x+1/2,y+1/2,z+1/2'
'x+1/2,-y+1/2,z+1/2'
loop_
_atom_site_label
_atom_site_type_symbol
_atom_site_fract_x
_atom_site_fract_y
_atom_site_fract_z
Zn1 Zn 0.0000 0.0000 0.0000
Co1 Co 0.0000 0.0000 0.4786
Co2 Co 0.0000 0.5000 0.7491
Rh1 Rh 0.0000 0.5000 0.2378
```

Results
N(E_F) = 1.0305 states/eV/atom
Energy relative to the elements = 0.006 eV/atom

---

No. 3
A plane-wave DFT calculation with PBE was carried out for YHg2Br after structural relaxation.

The structure in CIF format:
```
data_YHg2Br
_chemical_formula_sum 'Y1 Hg2 Br1'
_cell_length_a 3.6589
_cell_length_b 3.6589
_cell_length_c 8.2468
_cell_angle_alpha 90.00
_cell_angle_beta 90.00
_cell_angle_gamma 90.00
_symmetry_space_group_name_H-M 'P 4 m m'
_symmetry_Int_Tables_number 99
loop_
_symmetry_equiv_pos_as_xyz
'x,y,z'
'-y,x,z'
'-x,-y,z'
'y,-x,z'
'-x,y,z'
'y,x,z'
'x,-y,z'
'-y,-x,z'
loop_
_atom_site_label
_atom_site_type_symbol
_atom_site_fract_x
_atom_site_fract_y
_atom_site_fract_z
Y1 Y 0.0000 0.0000 0.0000
Hg1 Hg 0.0000 0.0000 0.5323
Hg2 Hg 0.5000 0.5000 0.7672
Br1 Br 0.5000 0.5000 0.1896
```

Results
Uncorrected formation energy = -0.592 eV per atom
N(E_F) = 0.5546 states/eV/atom
Energy relative to the lowest polymorph listed for this composition = 0.0 meV per atom

---

No. 4
A plane-wave DFT calculation with PBE was carried out for SrHfBeBi2 after structural relaxation.

The structure in CIF format:
```
data_SrHfBeBi2
_chemical_formula_sum 'Sr1 Hf1 Be1 Bi2'
_cell_length_a 5.5921
_cell_length_b 5.5921
_cell_length_c 6.5139
_cell_angle_alpha 90.00
_cell_angle_beta 90.00
_cell_angle_gamma 90.00
_symmetry_space_group_name_H-M 'P 4/m m m'
_symmetry_Int_Tables_number 123
_symmetry_space_group_name_Hall '-P 4 2'
loop_
_atom_site_label
_atom_site_type_symbol
_atom_site_fract_x
_atom_site_fract_y
_atom_site_fract_z
Sr1 Sr 0.0000 0.0000 0.0000
Hf1 Hf 0.0000 0.0000 0.5000
Be1 Be 0.5000 0.5000 0.0000
Bi1 Bi 0.0000 0.5000 0.5000
```

Results
N(E_F) = 0.5465 states/eV/atom
Energy relative to the elements = 0.805 eV/atom

---

No. 5
A plane-wave DFT calculation with PBE was carried out for Pm2Nd3Er6Pu after structural relaxation.

The structure in CIF format:
```
data_Pm2Nd3Er6Pu
_chemical_formula_sum 'Pm4 Nd6 Er12 Pu2'
_cell_length_a 6.1887
_cell_length_b 10.7219
_cell_length_c 11.6946
_cell_angle_alpha 90.00
_cell_angle_beta 100.18
_cell_angle_gamma 90.00
_symmetry_space_group_name_H-M 'C 1 2/m 1'
_symmetry_Int_Tables_number 12
loop_
_symmetry_equiv_pos_as_xyz
'x,y,z'
'-x,-y,-z'
'-x,y,-z'
'x,-y,z'
'x+1/2,y+1/2,z'
'-x+1/2,-y+1/2,-z'
'-x+1/2,y+1/2,-z'
'x+1/2,-y+1/2,z'
loop_
_atom_site_label
_atom_site_type_symbol
_atom_site_fract_x
_atom_site_fract_y
_atom_site_fract_z
Pm1 Pm 0.0000 0.1666 0.0000
Nd1 Nd 0.0000 0.0000 0.5000
Nd2 Nd 0.0000 0.3328 0.5000
Er1 Er 0.2466 0.3357 0.2466
Er2 Er 0.2466 0.5000 0.7534
Pu1 Pu 0.0000 0.5000 0.0000
```

Results
N(E_F) = 1.8740 states/eV/atom
Energy relative to the elements = 0.042 eV/atom

---

No. 6
A plane-wave DFT calculation with PBE was carried out for MnSbS4 after structural relaxation.

The structure in CIF format:
```
data_MnSbS4
_chemical_formula_sum 'Mn4 Sb4 S16'
_cell_length_a 7.5663
_cell_length_b 13.2874
_cell_length_c 6.3166
_cell_angle_alpha 90.00
_cell_angle_beta 104.37
_cell_angle_gamma 90.00
_symmetry_space_group_name_H-M 'C 1 2/c 1'
_symmetry_Int_Tables_number 15
loop_
_symmetry_equiv_pos_as_xyz
'x,y,z'
'-x,-y,-z'
'-x,y,-z+1/2'
'x,-y,z+1/2'
'x+1/2,y+1/2,z'
'-x+1/2,-y+1/2,-z'
'-x+1/2,y+1/2,-z+1/2'
'x+1/2,-y+1/2,z+1/2'
loop_
_atom_site_label
_atom_site_type_symbol
_atom_site_fract_x
_atom_site_fract_y
_atom_site_fract_z
Mn1 Mn 0.0000 0.0297 0.2500
Sb1 Sb 0.0000 0.4323 0.2500
S1 S 0.0759 0.1297 0.6332
S2 S 0.1904 0.4202 0.6836
```

Results
Uncorrected formation energy = -0.177 eV per atom
N(E_F) = 0.2029 states/eV/atom
Energy relative to the lowest polymorph listed for this composition = 173.5 meV per atom

---

No. 7
A plane-wave DFT calculation with PBE was carried out for Cs4AgAuF after structural relaxation.

The structure in CIF format:
```
data_Cs4AgAuF
_chemical_formula_sum 'Cs8 Ag2 Au2 F2'
_cell_length_a 8.7506
_cell_length_b 8.5508
_cell_length_c 10.2990
_cell_angle_alpha 90.00
_cell_angle_beta 106.85
_cell_angle_gamma 90.00
_symmetry_space_group_name_H-M 'P 1 21/m 1'
_symmetry_Int_Tables_number 11
loop_
_symmetry_equiv_pos_as_xyz
'x,y,z'
'-x,-y,-z'
'-x,y+1/2,-z'
'x,-y+1/2,z'
loop_
_atom_site_label
_atom_site_type_symbol
_atom_site_fract_x
_atom_site_fract_y
_atom_site_fract_z
Cs1 Cs 0.0131 0.0088 0.2607
Cs2 Cs 0.4277 0.2500 0.1335
Cs3 Cs 0.4330 0.2500 0.5839
Ag1 Ag 0.2425 0.7500 0.0589
Au1 Au 0.2282 0.7500 0.5568
F1 F 0.2397 0.2500 0.3148
```

Results
Uncorrected formation energy = -0.807 eV per atom
N(E_F) = 0.5519 states/eV/atom

---

No. 8
A plane-wave DFT calculation with PBE was carried out for TiTeI2N after structural relaxation.

The structure in CIF format:
```
data_TiTeI2N
_chemical_formula_sum 'Ti1 Te1 I2 N1'
_cell_length_a 5.6349
_cell_length_b 5.6349
_cell_length_c 5.2919
_cell_angle_alpha 90.00
_cell_angle_beta 90.00
_cell_angle_gamma 90.00
_symmetry_space_group_name_H-M 'P 4/m m m'
_symmetry_Int_Tables_number 123
_symmetry_space_group_name_Hall '-P 4 2'
loop_
_atom_site_label
_atom_site_type_symbol
_atom_site_fract_x
_atom_site_fract_y
_atom_site_fract_z
Ti1 Ti 0.0000 0.0000 0.0000
Te1 Te 0.0000 0.0000 0.5000
I1 I 0.0000 0.5000 0.0000
N1 N 0.5000 0.5000 0.5000
```

Results
Uncorrected formation energy = 0.725 eV per atom
N(E_F) = 0.4961 states/eV/atom
Energy relative to the lowest polymorph listed for this composition = 654.1 meV per atom

---

No. 9
A plane-wave DFT calculation with PBE was carried out for Ho2Ge3Os after structural relaxation.

The structure in CIF format:
```
data_Ho2Ge3Os
_chemical_formula_sum 'Ho4 Ge6 Os2'
_cell_length_a 10.3183
_cell_length_b 4.3935
_cell_length_c 6.9680
_cell_angle_alpha 90.00
_cell_angle_beta 130.08
_cell_angle_gamma 90.00
_symmetry_space_group_name_H-M 'C 1 m 1'
_symmetry_Int_Tables_number 8
loop_
_symmetry_equiv_pos_as_xyz
'x,y,z'
'x,-y,z'
'x+1/2,y+1/2,z'
'x+1/2,-y+1/2,z'
loop_
_atom_site_label
_atom_site_type_symbol
_atom_site_fract_x
_atom_site_fract_y
_atom_site_fract_z
Ho1 Ho 0.0000 0.0000 0.0000
Ho2 Ho 0.1123 0.0000 0.6070
Ge1 Ge 0.2387 0.5000 0.4124
Ge2 Ge 0.3746 0.0000 0.1984
Ge3 Ge 0.4395 0.0000 0.6577
Os1 Os 0.2355 0.5000 0.0412
```

Results
N(E_F) = 0.5109 states/eV/atom
Energy relative to the lowest polymorph listed for this composition = 0.0 meV per atom
Energy relative to the elements = -0.554 eV/atom

---

No. 10
A plane-wave DFT calculation with PBE was carried out for OsPtPb2 after structural relaxation.

The structure in CIF format:
```
data_OsPtPb2
_chemical_formula_sum 'Os1 Pt1 Pb2'
_cell_length_a 4.9392
_cell_length_b 4.9392
_cell_length_c 3.2872
_cell_angle_alpha 90.00
_cell_angle_beta 90.00
_cell_angle_gamma 90.00
_symmetry_space_group_name_H-M 'P 4/m m m'
_symmetry_Int_Tables_number 123
_symmetry_space_group_name_Hall '-P 4 2'
loop_
_atom_site_label
_atom_site_type_symbol
_atom_site_fract_x
_atom_site_fract_y
_atom_site_fract_z
Os1 Os 0.0000 0.0000 0.0000
Pt1 Pt 0.5000 0.5000 0.0000
Pb1 Pb 0.0000 0.5000 0.5000
```

Results
N(E_F) = 0.9809 states/eV/atom
Energy relative to the lowest polymorph listed for this composition = 266.0 meV per atom
Energy relative to the elements = 0.658 eV/atom

---

No. 11
A plane-wave DFT calculation with PBE was carried out for CaCeHgIr after structural relaxation.

The structure in CIF format:
```
data_CaCeHgIr
_chemical_formula_sum 'Ca4 Ce4 Hg4 Ir4'
_cell_length_a 7.2189
_cell_length_b 7.2189
_cell_length_c 7.2189
_cell_angle_alpha 90.00
_cell_angle_beta 90.00
_cell_angle_gamma 90.00
_symmetry_space_group_name_H-M 'F -4 3 m'
_symmetry_Int_Tables_number 216
_symmetry_space_group_name_Hall 'F -4 2 3'
loop_
_atom_site_label
_atom_site_type_symbol
_atom_site_fract_x
_atom_site_fract_y
_atom_site_fract_z
Ca1 Ca 0.0000 0.0000 0.0000
Ce1 Ce 0.0000 0.0000 0.5000
Hg1 Hg 0.2500 0.2500 0.7500
Ir1 Ir 0.2500 0.2500 0.2500
```

Results
N(E_F) = 1.5952 states/eV/atom
Energy relative to the elements = -0.399 eV/atom

---

No. 12
A plane-wave DFT calculation with PBE was carried out for AcErInPt after structural relaxation.

The structure in CIF format:
```
data_AcErInPt
_chemical_formula_sum 'Ac4 Er4 In4 Pt4'
_cell_length_a 7.5724
_cell_length_b 7.5724
_cell_length_c 7.5724
_cell_angle_alpha 90.00
_cell_angle_beta 90.00
_cell_angle_gamma 90.00
_symmetry_space_group_name_H-M 'F -4 3 m'
_symmetry_Int_Tables_number 216
_symmetry_space_group_name_Hall 'F -4 2 3'
loop_
_atom_site_label
_atom_site_type_symbol
_atom_site_fract_x
_atom_site_fract_y
_atom_site_fract_z
Ac1 Ac 0.0000 0.0000 0.0000
Er1 Er 0.0000 0.0000 0.5000
In1 In 0.2500 0.2500 0.2500
Pt1 Pt 0.2500 0.2500 0.7500
```

Results
N(E_F) = 1.1208 states/eV/atom
Energy relative to the elements = -0.606 eV/atom